No. 1
## Na3HfSc2Se6 (GGA-PBE)

Data for Na3HfSc2Se6 after structural relaxation.

a b c (Å): 6.753 6.753 7.381
angles (deg): 98.78 98.78 120.00
Sites, in units of the cell vectors:
Se 0.074 0.403 0.221
Se 0.256 0.256 0.779
Se 0.744 0.744 0.221
Se 0.597 0.926 0.779
Se 0.926 0.597 0.779
Se 0.403 0.074 0.221
Sc 0.667 0.333 0.000
Sc 0.333 0.667 0.000
Na 0.500 0.500 0.500
Na 0.832 0.168 0.500
Na 0.168 0.832 0.500
Hf 0.000 0.000 0.000

- DFT total energy (Ry per atom) = -0.3991
- energy relative to the elements, uncorrected (eV/atom) = -1.473


No. 2
## Ce2ZnGa6Au (GGA-PBE)

Data for Ce2ZnGa6Au after structural relaxation.

a b c (Å): 6.409 6.409 12.499
angles (deg): 75.14 75.14 60.00
Site moments in Bohr magnetons follow the coordinates.
Sites, in units of the cell vectors:
Ga 0.232 0.232 0.887  0.02
Ga 0.667 0.667 0.609  0.01
Ga 0.768 0.351 0.113  0.02
Ga 0.943 0.333 0.391  0.01
Ga 0.057 0.667 0.609  0.01
Ga 0.333 0.333 0.391  0.01
Ga 0.649 0.232 0.887  0.02
Ga 0.232 0.649 0.887  0.02
Ga 0.667 0.057 0.609  0.01
Ga 0.768 0.768 0.113  0.02
Ga 0.333 0.943 0.391  0.01
Ga 0.351 0.768 0.113  0.02
Ce 0.889 0.889 0.332  0.90
Ce 0.712 0.712 0.865  0.77
Ce 0.111 0.111 0.668  0.90
Ce 0.288 0.288 0.135  0.77
Au 0.000 0.000 0.000  0.01
Au 0.500 0.500 0.500  0.00
Zn 0.572 0.572 0.284  0.00
Zn 0.428 0.428 0.716  0.00

- energy of formation from the pure elements (eV per atom) = -0.274
- DFT total energy (Ry per atom) = -0.2743


Looking at size of the total moment for the records above, in order, we have 0.0; 2.1 μB per formula unit.